# 1
Nb2Tc | GGA-PBE | optimized geometry Values from VASP.

Properties
For the energy above the most stable polymorph in this dataset, the calculation gives 3314 meV/atom. Its space-group type is Fd-3m (227). The formation energy comes out at 3.053 eV per atom.

The structure in Quantum ESPRESSO input format:
```
&SYSTEM
  ibrav = 0, nat = 6, ntyp = 2
/
ATOMIC_SPECIES
Nb 92.91 Nb.upf
Tc 98.00 Tc.upf
ATOMIC_POSITIONS crystal
Nb 0.375 0.375 0.375
Nb 0.875 0.375 0.375
Nb 0.375 0.875 0.375
Nb 0.375 0.375 0.875
Tc 0.250 0.250 0.250
Tc 0.500 0.500 0.500
CELL_PARAMETERS angstrom
-6.087 4.834 -0.020
-2.780 2.777 6.707
0.984 7.496 1.809
```

# 2
CdCoHgPb | GGA-PBE | optimized geometry Values from VASP.

Properties
For the energy above the most stable polymorph in this dataset, the calculation gives 0 meV/atom. Its space-group type is F-43m (216).

The structure in Quantum ESPRESSO input format:
```
&SYSTEM
  ibrav = 0, nat = 4, ntyp = 4
/
ATOMIC_SPECIES
Cd 112.41 Cd.upf
Co 58.93 Co.upf
Hg 200.59 Hg.upf
Pb 207.20 Pb.upf
ATOMIC_POSITIONS crystal
Cd 0.250 0.250 0.250
Co 0.750 0.750 0.750
Hg 0.500 0.500 0.500
Pb 0.000 0.000 0.000
CELL_PARAMETERS angstrom
0.000 3.471 3.471
3.471 0.000 3.471
3.471 3.471 0.000
```

# 3
Pr4SiPt3 | GGA-PBE | optimized geometry Values from VASP.

Properties
Its space-group type is Pm (6).

The structure in Quantum ESPRESSO input format:
```
&SYSTEM
  ibrav = 0, nat = 8, ntyp = 3
/
ATOMIC_SPECIES
Pr 140.91 Pr.upf
Pt 195.08 Pt.upf
Si 28.09 Si.upf
ATOMIC_POSITIONS crystal
Pr 0.369 0.000 0.178
Pr 0.871 0.500 0.323
Pr 0.135 0.000 0.684
Pr 0.631 0.500 0.814
Pt 0.349 0.500 0.457
Pt 0.647 0.000 0.543
Pt 0.128 0.500 0.964
Si 0.871 0.000 0.038
CELL_PARAMETERS angstrom
5.895 0.000 0.000
0.000 4.394 0.000
-0.022 0.000 7.725
```

# 4
TbSiPO | GGA-PBE | optimized geometry Values from VASP.

Properties
For the energy above the most stable polymorph in this dataset, the calculation gives 553 meV/atom. Its space-group type is P4/nmm (129).

The structure in Quantum ESPRESSO input format:
```
&SYSTEM
  ibrav = 0, nat = 8, ntyp = 4
/
ATOMIC_SPECIES
O 16.00 O.upf
P 30.97 P.upf
Si 28.09 Si.upf
Tb 158.93 Tb.upf
ATOMIC_POSITIONS crystal
O 0.000 0.000 0.000
O 0.500 0.500 0.000
P 0.500 0.000 0.498
P 0.000 0.500 0.502
Si 0.000 0.500 0.001
Si 0.500 0.000 0.999
Tb 0.000 0.000 0.500
Tb 0.500 0.500 0.500
CELL_PARAMETERS angstrom
-3.189 -4.118 -1.426
4.161 -3.402 0.519
-1.115 -0.683 4.464
```

# 5
Sr2Ga4NiPd | GGA-PBE | optimized geometry Values from VASP.

Properties
Its space-group type is Amm2 (38).

The structure in Quantum ESPRESSO input format:
```
&SYSTEM
  ibrav = 0, nat = 8, ntyp = 4
/
ATOMIC_SPECIES
Ga 69.72 Ga.upf
Ni 58.69 Ni.upf
Pd 106.42 Pd.upf
Sr 87.62 Sr.upf
ATOMIC_POSITIONS crystal
Ga 0.295 0.328 0.328
Ga 0.705 0.328 0.328
Ga 0.180 0.670 0.670
Ga 0.820 0.670 0.670
Ni 0.000 0.220 0.220
Pd 0.500 0.781 0.781
Sr 0.500 0.054 0.054
Sr 0.000 0.949 0.949
CELL_PARAMETERS angstrom
7.292 0.000 0.000
0.000 2.079 5.611
0.000 -2.079 5.611
```

# 6
Gd6Te2Pt | GGA-PBE | optimized geometry Values from VASP.

Properties
Its space-group type is P-62m (189).

The structure in Quantum ESPRESSO input format:
```
&SYSTEM
  ibrav = 0, nat = 9, ntyp = 3
/
ATOMIC_SPECIES
Gd 157.25 Gd.upf
Pt 195.08 Pt.upf
Te 127.60 Te.upf
ATOMIC_POSITIONS crystal
Gd 0.405 0.000 0.000
Gd 0.000 0.405 0.000
Gd 0.595 0.595 0.000
Gd 0.754 0.000 0.500
Gd 0.246 0.246 0.500
Gd 0.000 0.754 0.500
Pt 0.000 0.000 0.000
Te 0.667 0.333 0.500
Te 0.333 0.667 0.500
CELL_PARAMETERS angstrom
8.492 0.000 0.000
-4.246 7.355 0.000
0.000 0.000 3.976
```

In eV/atom, the E values for the records above are, in order, -7.130; -2.510; -6.327; -6.065; -3.825; -5.388.